# Dy2Y2Tl3

A geometry-optimized Dy2Y2Tl3 structure (PBE, Alexandria via LeMat-Bulk).

The structure in extended XYZ format:
```
7
Lattice="-2.373 -2.235 1.367 2.568 -1.583 1.871 -3.753 8.993 12.762" Properties=species:S:1:pos:R:3 pbc="T T T"
Y -3.306 5.710 12.739
Tl -3.071 0.516 4.654
Tl 0.000 0.000 0.000
Y -0.251 -0.535 3.260
Tl -3.054 6.242 9.475
Dy -2.620 3.006 9.509
Dy -0.937 2.169 6.490
```

SG ... Cmmm (65)
Energy above the lowest structure with this stoichiometry ... 0 meV/atom
Total magnetization ... 0.4 Bohr magnetons per cell
V ... 200.23 Å³/f.u.
Electronic total energy ... -30.84 eV per cell